Record 1
# SmEuBiAu

An optimized crystal structure of SmEuBiAu (PBE, the Alexandria database).

Unit cell a=5.436 b=5.436 c=5.436 alpha=60.00 beta=60.00 gamma=60.00
Last column: magnetic moment on the atom in μB.
Fractional coordinates of all 4 atoms:
Au1 0.250 0.250 0.250  0.04
Bi1 0.750 0.750 0.750  -0.07
Eu1 0.500 0.500 0.500  6.93
Sm1 0.000 0.000 0.000  0.32

Values from the calculation:
For the energy of formation from the pure elements, the calculation gives -0.73 eV per atom. Its space-group type is F-43m (216).

---

Record 2
# KCu2Ni

An optimized crystal structure of KCu2Ni (PBE, the Alexandria database).

Unit cell a=4.066 b=2.677 c=6.953 alpha=87.04 beta=90.00 gamma=90.00
Fractional coordinates of all 4 atoms:
Cu1 0.000 0.141 0.947
Cu2 0.500 0.114 0.168
Ni1 0.500 0.654 0.880
K1 0.000 0.591 0.505

Values from the calculation:
For the energy of formation from the pure elements, the calculation gives 0.43 eV per atom. The calculation puts the distance to the lowest polymorph of the same formula at 30 meV/atom. Its space-group type is Pm (6).

---

Record 3
# V2AgAsBr

An optimized crystal structure of V2AgAsBr (PBE, the Alexandria database).

Unit cell a=4.934 b=4.961 c=4.934 alpha=90.00 beta=90.00 gamma=90.00
Last column: magnetic moment on the atom in μB.
Fractional coordinates of all 5 atoms:
As1 0.000 0.000 0.000  -0.10
Ag1 0.000 0.500 0.000  0.01
V1 0.000 0.000 0.500  3.06
V2 0.500 0.000 0.000  2.59
Br1 0.500 0.500 0.500  0.03

Values from the calculation:
For the raw formation energy, the calculation gives 506 meV per atom. Its space-group type is P4/mmm (123).

---

| no. | N(E_F) (states/eV per atom) |
| --- | --- |
| 1 | 0.71 |
| 2 | 0.98 |
| 3 | 1.13 |